(1)
PrHo2Pd2 | Alexandria via LeMat-Bulk | GGA-PBE | optimized geometry; size of the total moment = 0.00 μB per formula unit; energy = -27.2 eV per cell; V = 130 Å³/f.u.; DFT formation energy = -0.57 eV per atom; Fermi-level density of states = 1.25 states/eV per atom
1.0
3.3068 -3.3095 0.0000
3.3068 3.3095 0.0000
-3.2860 0.0000 5.9539
Pr Ho Pd
1 2 2
Cartesian
0.0000 0.0000 0.0000
1.6638 1.6542 2.9769
1.6638 -1.6542 2.9769
0.0108 0.0000 4.6207
3.3167 0.0000 1.3332

=====

(2)
Pr3HoPd12 | Alexandria via LeMat-Bulk | GGA-PBE | optimized geometry; size of the total moment = 0.00 μB per formula unit; energy = -93.7 eV per cell; V = 295 Å³/f.u.; DFT formation energy = -0.78 eV per atom; Fermi-level density of states = 0.61 states/eV per atom
1.0
4.1901 0.0000 0.0000
0.0000 4.1901 0.0000
0.0000 0.0000 16.8185
Pr Ho Pd
3 1 12
Cartesian
0.0000 0.0000 0.0000
0.0000 0.0000 4.2747
0.0000 0.0000 12.5439
0.0000 0.0000 8.4093
0.0000 2.0951 2.1280
0.0000 2.0951 6.4032
0.0000 2.0951 10.4153
0.0000 2.0951 14.6905
2.0951 0.0000 2.1280
2.0951 0.0000 6.4032
2.0951 0.0000 10.4153
2.0951 0.0000 14.6905
2.0951 2.0951 0.0000
2.0951 2.0951 4.2520
2.0951 2.0951 8.4093
2.0951 2.0951 12.5665

=====

(3)
PrHoPd | Alexandria via LeMat-Bulk | GGA-PBE | optimized geometry; size of the total moment = 0.00 μB per formula unit; energy = -32.1 eV per cell; V = 81 Å³/f.u.; DFT formation energy = -0.50 eV per atom; Fermi-level density of states = 1.19 states/eV per atom
1.0
3.6043 0.0000 0.0000
-1.7988 6.4537 0.0000
-0.0007 -2.1433 6.9706
Pr Ho Pd
2 2 2
Cartesian
0.0029 1.6484 0.4835
1.8019 2.6621 6.4872
-0.0004 0.5492 3.9481
1.8053 3.7612 3.0226
0.0030 5.7870 1.9370
1.8018 -1.4766 5.0336

=====

(4)
PrHoPd | Alexandria via LeMat-Bulk | GGA-PBE | optimized geometry; size of the total moment = 0.00 μB per formula unit; energy = -16.1 eV per cell; V = 81 Å³/f.u.; DFT formation energy = -0.51 eV per atom; Fermi-level density of states = 1.04 states/eV per atom
1.0
-1.8017 1.8017 6.2360
1.8017 -1.8017 6.2360
1.8017 1.8017 -6.2360
Pr Ho Pd
1 1 1
Cartesian
0.0000 0.0000 0.0000
0.0000 0.0000 3.4412
0.0000 0.0000 8.2182

=====

(5)
Pr3Ho12Pd5 | Alexandria via LeMat-Bulk | GGA-PBE | optimized geometry; size of the total moment = 0.01 μB per formula unit; energy = -372.7 eV per cell; V = 675 Å³/f.u.; DFT formation energy = 0.10 eV per atom; Fermi-level density of states = 1.41 states/eV per atom
1.0
-8.7721 8.7721 8.7721
8.7721 -8.7721 8.7721
8.7721 8.7721 -8.7721
Pr Ho Pd
12 48 20
Cartesian
4.3861 2.1930 0.0000
8.7721 4.3861 -2.1930
2.1930 0.0000 4.3861
10.9651 0.0000 4.3861
0.0000 4.3861 2.1930
4.3861 -2.1930 8.7721
4.3861 10.9651 0.0000
8.7721 4.3861 6.5791
-2.1930 8.7721 4.3861
6.5791 8.7721 4.3861
0.0000 4.3861 10.9651
4.3861 6.5791 8.7721
2.4663 -0.6544 1.0881
10.6918 5.4741 -5.0404
8.1177 -1.0881 2.4663
13.8125 -1.9197 3.2980
11.2384 0.6544 1.0881
10.6918 -3.2980 5.0404
1.0881 2.4663 -0.6544
12.0701 3.7317 -1.9197
5.4741 5.0404 -1.9197
7.6840 2.4663 0.6544
-0.6544 1.0881 2.4663
5.0404 -1.9197 5.4741
8.1177 7.6840 -2.4663
5.0404 1.9197 3.2980
7.6840 -2.4663 8.1177
5.4741 -5.0404 10.6918
3.2980 5.0404 1.9197
9.8602 6.3058 0.6544
2.4663 8.1177 -1.0881
10.6918 3.2980 3.7317
5.0404 10.6918 -3.2980
8.1177 1.0881 6.3058
1.9197 3.2980 5.0404
2.4663 0.6544 7.6840
6.3058 8.1177 1.0881
6.8524 5.4741 3.7317
0.6544 7.6840 2.4663
3.7317 -1.9197 12.0701
-1.9197 5.4741 5.0404
6.3058 0.6544 9.8602
-1.0881 2.4663 8.1177
5.4741 3.7317 6.8524
3.2980 13.8125 -1.9197
1.0881 11.2384 0.6544
3.7317 6.8524 5.4741
0.6544 1.0881 11.2384
3.7317 10.6918 3.2980
9.4265 7.6840 6.3058
1.0881 6.3058 8.1177
3.2980 3.7317 10.6918
-3.2980 5.0404 10.6918
7.6840 6.3058 9.4265
-1.9197 12.0701 3.7317
-2.4663 8.1177 7.6840
-5.0404 10.6918 5.4741
0.6544 9.8602 6.3058
-1.9197 3.2980 13.8125
6.3058 9.4265 7.6840
0.0000 0.0000 0.0000
4.3861 4.3861 -4.3861
4.3861 -4.3861 4.3861
8.7721 0.0000 0.0000
13.1582 2.1930 0.0000
8.7721 -4.3861 6.5791
6.5791 8.7721 -4.3861
6.5791 0.0000 4.3861
4.3861 6.5791 0.0000
8.7721 4.3861 2.1930
-4.3861 4.3861 4.3861
0.0000 8.7721 0.0000
0.0000 0.0000 8.7721
4.3861 4.3861 4.3861
0.0000 4.3861 6.5791
4.3861 2.1930 8.7721
2.1930 8.7721 4.3861
2.1930 0.0000 13.1582
0.0000 13.1582 2.1930
-4.3861 6.5791 8.7721

=====

(6)
PrHoPd6 | Alexandria via LeMat-Bulk | GGA-PBE | optimized geometry; size of the total moment = 0.00 μB per formula unit; energy = -47.0 eV per cell; V = 145 Å³/f.u.; DFT formation energy = -0.81 eV per atom; Fermi-level density of states = 0.69 states/eV per atom
1.0
4.1794 0.0000 0.0000
0.0000 4.1794 0.0000
0.0000 0.0000 8.2948
Pr Ho Pd
1 1 6
Cartesian
0.0000 0.0000 0.0000
0.0000 0.0000 4.1474
0.0000 2.0897 2.1424
0.0000 2.0897 6.1524
2.0897 0.0000 2.1424
2.0897 0.0000 6.1524
2.0897 2.0897 0.0000
2.0897 2.0897 4.1474

=====

(7)
PrHo3Pd | Alexandria via LeMat-Bulk | GGA-PBE | optimized geometry; size of the total moment = 0.00 μB per formula unit; energy = -50.2 eV per cell; V = 153 Å³/f.u.; DFT formation energy = -0.28 eV per atom; Fermi-level density of states = 1.37 states/eV per atom
1.0
5.8362 -4.1892 0.0000
5.8362 4.1892 0.0000
-4.7549 0.0000 6.2707
Pr Ho Pd
2 6 2
Cartesian
-0.9550 0.0000 1.9215
7.8725 0.0000 4.3492
2.2579 1.6882 1.6688
1.5032 0.0000 4.5675
4.6596 1.6882 4.6018
2.2579 -1.6882 1.6688
5.4142 0.0000 1.7032
4.6596 -1.6882 4.6018
-1.1803 0.0000 5.8308
8.0978 0.0000 0.4399

=====

(8)
PrHoPd | Alexandria via LeMat-Bulk | GGA-PBE | optimized geometry; size of the total moment = 0.00 μB per formula unit; energy = -64.9 eV per cell; V = 83 Å³/f.u.; DFT formation energy = -0.56 eV per atom; Fermi-level density of states = 0.98 states/eV per atom
1.0
7.2705 0.0000 0.0000
0.0000 6.4309 0.0000
-2.2625 0.0000 7.0950
Pr Ho Pd
4 4 4
Cartesian
0.1834 0.8629 2.5873
-0.9478 2.3525 6.1348
5.9559 4.0783 0.9602
4.8246 5.5680 4.5078
2.4171 4.2310 2.1085
1.2858 5.4154 5.6560
3.7222 1.0155 1.4390
2.5910 2.1999 4.9865
0.1511 3.8240 3.6774
1.2824 5.8223 0.1299
3.7257 0.6086 6.9651
4.8569 2.6069 3.4176